[1]
Crystalline ScBiRuSe2 at its relaxed geometry, computed with PBE.

## Properties
Total magnetic moment ... 0.00 Bohr magnetons per cell
ΔE_f (raw) ... -21 meV/atom
Volume ... 118 Å³/cell
Raw total energy ... -5.312 eV/atom

a b c (Å): 4.9058 4.9211 4.9058
angles (deg): 90.00 90.00 90.00
Closest atoms and distances in Å follow each position.
Positions (direct):
Sc  0.0000  0.5000  0.0000  2 Ru 2.46
Ru  0.0000  0.0000  0.0000  4 Se 2.45, 2 Sc 2.46
Bi  0.5000  0.5000  0.5000  4 Sc 3.47, 8 Se 3.47
Se  0.0000  0.0000  0.5000  2 Ru 2.45
Se  0.5000  0.0000  0.0000  2 Ru 2.45

***

[2]
Crystalline ScVBi2Ru at its relaxed geometry, computed with PBE.

## Properties
Total magnetic moment ... 1.90 Bohr magnetons per cell
Volume ... 123 Å³/cell
Raw total energy ... -5.563 eV/atom

a b c (Å): 5.1856 4.5637 5.1856
angles (deg): 90.00 90.00 90.00
Closest atoms and distances in Å follow each position.
Positions (direct):
Sc  0.0000  0.5000  0.0000  2 V 2.28
Ru  0.5000  0.5000  0.5000  8 Bi 3.45, 4 Sc 3.67
Bi  0.0000  0.0000  0.5000  2 V 2.59
Bi  0.5000  0.0000  0.0000  2 V 2.59
V  0.0000  0.0000  0.0000  2 Sc 2.28

***

[3]
Crystalline ScZn2BiRu at its relaxed geometry, computed with PBE.

## Properties
Total magnetic moment ... 0.00 Bohr magnetons per cell
Volume ... 116 Å³/cell
Raw total energy ... -4.128 eV/atom

a b c (Å): 4.7452 5.1703 4.7452
angles (deg): 90.00 90.00 90.00
Closest atoms and distances in Å follow each position.
Positions (direct):
Sc  0.5000  0.5000  0.5000  4 Bi 3.36, 8 Zn 3.51
Ru  0.0000  0.0000  0.0000  4 Zn 2.37, 2 Bi 2.59
Zn  0.0000  0.0000  0.5000  2 Ru 2.37
Zn  0.5000  0.0000  0.0000  2 Ru 2.37
Bi  0.0000  0.5000  0.0000  2 Ru 2.59

***

[4]
Crystalline ZrSc2BiRu at its relaxed geometry, computed with PBE.

## Properties
Total magnetic moment ... 0.00 Bohr magnetons per cell
Volume ... 131 Å³/cell
Raw total energy ... -6.193 eV/atom

a b c (Å): 5.2579 4.7221 5.2579
angles (deg): 90.00 90.00 90.00
Closest atoms and distances in Å follow each position.
Positions (direct):
Sc  0.0000  0.0000  0.5000  2 Zr 2.63
Sc  0.5000  0.0000  0.0000  2 Zr 2.63
Ru  0.0000  0.5000  0.0000  2 Zr 2.36
Bi  0.5000  0.5000  0.5000  8 Sc 3.53, 4 Ru 3.72
Zr  0.0000  0.0000  0.0000  2 Ru 2.36, 4 Sc 2.63

***

[5]
Crystalline Bi3RuSe at its relaxed geometry, computed with PBE.

## Properties
Total magnetic moment ... 0.00 Bohr magnetons per cell
ΔE_f (raw) ... 410 meV/atom
Energy above the most stable polymorph in this dataset ... 0 meV per atom
Volume ... 147 Å³/cell
Raw total energy ... -4.471 eV/atom

a b c (Å): 5.2759 5.2759 5.2759
angles (deg): 90.00 90.00 90.00
Closest atoms and distances in Å follow each position.
Positions (direct):
Ru  0.0000  0.0000  0.0000  6 Bi 2.64
Bi  0.0000  0.5000  0.0000  2 Ru 2.64
Bi  0.0000  0.0000  0.5000  2 Ru 2.64
Bi  0.5000  0.0000  0.0000  2 Ru 2.64
Se  0.5000  0.5000  0.5000  12 Bi 3.73

***

[6]
Crystalline BiRuSe at its relaxed geometry, computed with PBE.

## Properties
Total magnetic moment ... 0.00 Bohr magnetons per cell
ΔE_f (raw) ... -35 meV/atom
Volume ... 267 Å³/cell
Raw total energy ... -5.582 eV/atom

a b c (Å): 6.6639 6.6639 7.5019
angles (deg): 105.67 105.67 113.07
Closest atoms and distances in Å follow each position.
Positions (direct):
Bi  0.1434  0.4479  0.6587  3 Ru 2.72-2.74, 1 Bi 3.01
Bi  0.1979  0.3934  0.1587  3 Ru 2.72-2.74, 1 Bi 3.01
Bi  0.2346  0.0391  0.8413  3 Ru 2.72-2.74, 1 Bi 3.01
Bi  0.7891  0.4846  0.3413  3 Ru 2.72-2.74, 1 Bi 3.01
Ru  0.9325  0.9604  0.4671  3 Se 2.46-2.53, 3 Bi 2.72-2.74
Ru  0.2154  0.7433  0.0329  3 Se 2.46-2.53, 3 Bi 2.72-2.74
Ru  0.4933  0.4654  0.5329  3 Se 2.46-2.53, 3 Bi 2.72-2.74
Ru  0.7104  0.1825  0.9671  3 Se 2.46-2.53, 3 Bi 2.72-2.74
Se  0.6600  0.8930  0.1336  3 Ru 2.46-2.53
Se  0.2764  0.0094  0.3664  3 Ru 2.46-2.53
Se  0.6430  0.9100  0.6336  3 Ru 2.46-2.53
Se  0.7594  0.5264  0.8664  3 Ru 2.46-2.53

***

- The highest total magnetic moment belongs to which entry?
  ScVBi2Ru